Entry 1:
The following is a DFT calculation (PBE-GGA) of a relaxed structure of Nd5Y4Ho4.

Structure (POSCAR):
```
Nd5Y4Ho4
1.0
-6.4960 6.4960 2.5425
6.4960 -6.4960 2.5425
6.4960 6.4960 -2.5425
Nd Y Ho
5 4 4
direct
0.0000 0.0000 0.0000 Nd
0.3066 0.5395 0.8461 Nd
0.4605 0.3066 0.7670 Nd
0.5395 0.6934 0.2330 Nd
0.6934 0.4605 0.1539 Nd
0.0768 0.3850 0.4618 Y
0.3850 0.9232 0.3081 Y
0.6150 0.0768 0.6919 Y
0.9232 0.6150 0.5382 Y
0.1547 0.7676 0.9222 Ho
0.2324 0.1547 0.3871 Ho
0.7676 0.8453 0.6129 Ho
0.8453 0.2324 0.0778 Ho
```

**Density**: 6.7 Mg/m³
**Formation energy from the elements**: 0.019 eV per atom
**E_tot**: -67.764 eV per cell
**Symmetry**: I4/m
**DOS(E_F)**: 19.191 states/eV/cell

=====

Entry 2:
The following is a DFT calculation (PBE-GGA) of a relaxed structure of NdY12Ho3.

Structure (POSCAR):
```
NdY12Ho3
1.0
5.0480 0.0000 0.0000
0.0000 5.0480 0.0000
0.0000 0.0000 20.1981
Nd Y Ho
1 12 3
direct
0.0000 0.0000 0.0000 Nd
0.0000 0.5000 0.1268 Y
0.0000 0.5000 0.3755 Y
0.0000 0.5000 0.6245 Y
0.0000 0.5000 0.8732 Y
0.5000 0.0000 0.1268 Y
0.5000 0.0000 0.3755 Y
0.5000 0.0000 0.6245 Y
0.5000 0.0000 0.8732 Y
0.5000 0.5000 0.0000 Y
0.5000 0.5000 0.2515 Y
0.5000 0.5000 0.5000 Y
0.5000 0.5000 0.7485 Y
0.0000 0.0000 0.2510 Ho
0.0000 0.0000 0.5000 Ho
0.0000 0.0000 0.7490 Ho
```

**Density**: 5.5 Mg/m³
**Formation energy from the elements**: 0.024 eV per atom
**E_tot**: -95.689 eV per cell
**Symmetry**: P4/mmm
**DOS(E_F)**: 22.410 states/eV/cell

=====

Entry 3:
The following is a DFT calculation (PBE-GGA) of a relaxed structure of Nd3Y8Ho3.

Structure (POSCAR):
```
Nd3Y8Ho3
1.0
-2.8452 5.4175 7.5515
2.8452 -5.4175 7.5515
2.8452 5.4175 -7.5515
Nd Y Ho
3 8 3
direct
0.0000 0.0000 0.0000 Nd
0.1818 0.6818 0.5000 Nd
0.8182 0.3182 0.5000 Nd
0.1199 0.2796 0.8403 Y
0.2391 0.8976 0.3416 Y
0.4393 0.2796 0.1597 Y
0.4440 0.1024 0.3416 Y
0.5560 0.8976 0.6584 Y
0.5607 0.7204 0.8403 Y
0.7609 0.1024 0.6584 Y
0.8801 0.7204 0.1597 Y
0.2034 0.5000 0.7034 Ho
0.5000 0.5000 0.0000 Ho
0.7966 0.5000 0.2966 Ho
```

**Density**: 5.8 Mg/m³
**Formation energy from the elements**: 0.113 eV per atom
**E_tot**: -78.170 eV per cell
**Symmetry**: Immm
**DOS(E_F)**: 23.927 states/eV/cell

=====

Entry 4:
The following is a DFT calculation (PBE-GGA) of a relaxed structure of NdY3Ho5.

Structure (POSCAR):
```
NdY3Ho5
1.0
9.5369 -3.0322 0.0000
9.5369 3.0322 0.0000
-4.5242 0.0000 10.4435
Nd Y Ho
2 6 10
direct
0.0567 0.9433 0.7500 Nd
0.9433 0.0567 0.2500 Nd
0.0000 0.0000 0.0000 Y
0.0000 0.0000 0.5000 Y
0.0568 0.5904 0.6377 Y
0.4096 0.9432 0.8623 Y
0.5904 0.0568 0.1377 Y
0.9432 0.4096 0.3623 Y
0.0866 0.5756 0.9717 Ho
0.0939 0.5791 0.3031 Ho
0.4209 0.9061 0.1969 Ho
0.4244 0.9134 0.5283 Ho
0.4433 0.5567 0.2500 Ho
0.5567 0.4433 0.7500 Ho
0.5756 0.0866 0.4717 Ho
0.5791 0.0939 0.8031 Ho
0.9061 0.4209 0.6969 Ho
0.9134 0.4244 0.0283 Ho
```

**Density**: 6.8 Mg/m³
**Excess energy over the best structure of this formula in the dataset**: 2.40 eV/f.u.
**Formation energy from the elements**: 0.340 eV per atom
**E_tot**: -87.982 eV per cell
**Symmetry**: C2/c
**DOS(E_F)**: 28.209 states/eV/cell